# 1
A relaxed SiNi2Ru crystal, computed with GGA-PBEsol.

extended XYZ file:
```
4
Lattice="2.453 -3.622 0.000 2.453 3.622 0.000 0.000 0.000 2.587" Properties=species:S:1:pos:R:3 pbc="T T T"
Si 0.000 0.000 0.000
Ni 1.226 1.811 1.294
Ni 1.226 -1.811 1.294
Ru 2.453 0.000 0.000
```

energy relative to the elements, uncorrected = -218 meV per atom
space-group type = Cmmm
uncorrected energy = -29.1 eV/cell

---

# 2
A relaxed Li4Si3Ni2O10 crystal, computed with GGA-PBEsol.

extended XYZ file:
```
38
Lattice="4.470 -2.727 0.000 4.470 2.727 0.000 -2.178 0.000 16.368" Properties=species:S:1:pos:R:3 pbc="T T T"
Li 1.260 0.712 3.629
Li 1.091 0.412 9.049
Li 0.171 -0.712 11.813
Li 2.180 -0.412 0.864
Li 4.582 0.412 15.504
Li 6.591 0.712 4.555
Li 5.671 -0.412 7.320
Li 5.502 -0.712 12.739
Si 3.660 2.208 1.605
Si 4.191 2.208 6.579
Si 3.925 0.613 4.092
Si 2.836 -0.613 12.276
Si 2.571 -2.208 9.789
Si 3.101 -2.208 14.763
Ni 1.618 0.526 15.056
Ni 4.054 0.526 9.497
Ni 2.707 -0.526 6.871
Ni 5.143 -0.526 1.313
O 0.620 0.247 1.799
O 3.130 1.650 3.083
O 0.929 0.426 7.116
O -0.469 -0.247 9.983
O 3.814 0.837 0.709
O -0.160 -0.426 15.301
O 4.721 1.650 5.101
O 1.674 0.215 13.017
O 4.037 0.837 7.475
O 2.763 -0.215 4.833
O 3.998 0.215 11.536
O 2.725 -0.837 8.894
O 5.088 -0.215 3.351
O 2.041 -1.650 11.267
O 6.922 0.426 1.068
O 2.948 -0.837 15.659
O 7.231 0.247 6.385
O 5.832 -0.426 9.252
O 3.632 -1.650 13.285
O 6.142 -0.247 14.570
```

energy relative to the elements, uncorrected = -2115 meV per atom
space-group type = C2/c
uncorrected energy = -260.2 eV/cell

---

# 3
A relaxed TaPtRh crystal, computed with GGA-PBEsol.

extended XYZ file:
```
3
Lattice="0.000 2.994 2.994 2.994 0.000 2.994 2.994 2.994 0.000" Properties=species:S:1:pos:R:3 pbc="T T T"
Ta 0.000 0.000 0.000
Pt 2.994 2.994 2.994
Rh 4.491 4.491 4.491
```

space-group type = F-43m
formation energy = 0.18 eV/f.u.
uncorrected energy = -27.5 eV/cell

---

# 4
A relaxed AsIr2Ru crystal, computed with GGA-PBEsol.

extended XYZ file:
```
4
Lattice="2.713 -3.772 0.000 2.713 3.772 0.000 0.000 0.000 2.779" Properties=species:S:1:pos:R:3 pbc="T T T"
As 0.000 0.000 0.000
Ir 1.357 1.886 1.390
Ir 1.357 -1.886 1.390
Ru 2.713 0.000 0.000
```

space-group type = Cmmm
formation energy = 0.76 eV/f.u.
uncorrected energy = -34.2 eV/cell

---

# 5
A relaxed PPtCl2 crystal, computed with GGA-PBEsol.

extended XYZ file:
```
4
Lattice="0.000 3.191 3.191 3.191 0.000 3.191 3.191 3.191 0.000" Properties=species:S:1:pos:R:3 pbc="T T T"
P 0.000 0.000 0.000
Pt 3.191 3.191 3.191
Cl 1.595 1.595 1.595
Cl 4.786 4.786 4.786
```

energy relative to the elements, uncorrected = 802 meV per atom
space-group type = Fm-3m
uncorrected energy = -13.6 eV/cell

---

# 6
A relaxed BaLi2Ca crystal, computed with GGA-PBEsol.

extended XYZ file:
```
4
Lattice="3.950 0.000 0.000 0.000 3.950 0.000 0.000 0.000 8.901" Properties=species:S:1:pos:R:3 pbc="T T T"
Ba 0.000 0.000 0.000
Li 0.000 0.000 5.200
Li 1.975 1.975 6.431
Ca 1.975 1.975 3.096
```

space-group type = P4mm
formation energy = 0.14 eV/f.u.
uncorrected energy = -8.1 eV/cell

---

# 7
A relaxed TiGaBi2P crystal, computed with GGA-PBEsol.

extended XYZ file:
```
5
Lattice="5.444 0.000 0.000 0.000 5.444 0.000 0.000 0.000 4.571" Properties=species:S:1:pos:R:3 pbc="T T T"
Ti 0.000 0.000 0.000
Ga 2.722 2.722 0.000
Bi 0.000 2.722 2.285
Bi 2.722 0.000 2.285
P 0.000 0.000 2.285
```

space-group type = P4/mmm
formation energy = 1.91 eV/f.u.
uncorrected energy = -24.1 eV/cell

---

# 8
A relaxed RbOs3Ru crystal, computed with GGA-PBEsol.

extended XYZ file:
```
5
Lattice="4.546 0.000 0.000 0.000 4.546 0.000 0.000 0.000 4.546" Properties=species:S:1:pos:R:3 pbc="T T T"
Rb 0.000 0.000 0.000
Os 0.000 0.000 2.273
Os 0.000 2.273 0.000
Os 2.273 0.000 0.000
Ru 2.273 2.273 2.273
```

space-group type = Pm-3m
formation energy = 22.08 eV/f.u.
uncorrected energy = -25.8 eV/cell

---

# 9
A relaxed TiMnAs crystal, computed with GGA-PBEsol.

extended XYZ file:
```
9
Lattice="6.315 0.000 0.000 -3.158 5.469 0.000 0.000 0.000 3.480" Properties=species:S:1:pos:R:3 pbc="T T T"
Ti -1.857 3.216 0.000
Ti 1.301 2.253 0.000
Ti 3.714 0.000 0.000
Mn -0.782 1.355 1.740
Mn 1.565 0.000 1.740
Mn 2.375 4.114 1.740
As 0.000 0.000 0.000
As 0.000 3.646 1.740
As 3.158 1.823 1.740
```

space-group type = P-62m
formation energy = -2.11 eV/f.u.
uncorrected energy = -75.9 eV/cell

---

# 10
A relaxed PbIBr2 crystal, computed with GGA-PBEsol.

extended XYZ file:
```
4
Lattice="1.978 1.142 11.745 -1.978 1.142 11.745 0.000 -2.284 11.745" Properties=species:S:1:pos:R:3 pbc="T T T"
Pb 0.000 0.000 0.000
I 0.000 0.000 17.617
Br 0.000 0.000 13.654
Br 0.000 0.000 21.580
```

energy relative to the elements, uncorrected = -386 meV per atom
space-group type = R-3m
uncorrected energy = -11.0 eV/cell

---

# 11
A relaxed NaLaS2N crystal, computed with GGA-PBEsol.

extended XYZ file:
```
5
Lattice="4.902 0.000 0.000 0.000 4.902 0.000 0.000 0.000 4.145" Properties=species:S:1:pos:R:3 pbc="T T T"
Na 0.000 0.000 0.000
La 2.451 2.451 2.073
S 0.000 2.451 0.000
S 2.451 0.000 0.000
N 0.000 0.000 2.073
```

energy relative to the elements, uncorrected = -86 meV per atom
space-group type = P4/mmm
uncorrected energy = -24.5 eV/cell

---

# 12
A relaxed Sr4CaSi3 crystal, computed with GGA-PBEsol.

extended XYZ file:
```
16
Lattice="-3.917 3.917 7.876 3.917 -3.917 7.876 3.917 3.917 -7.876" Properties=species:S:1:pos:R:3 pbc="T T T"
Sr 5.331 1.414 -2.211
Sr 1.414 2.502 -2.211
Sr 5.331 1.414 2.211
Sr 1.414 2.502 2.211
Sr 2.502 1.414 5.666
Sr -1.414 2.502 5.666
Sr 2.502 1.414 10.087
Sr -1.414 2.502 10.087
Ca 0.000 0.000 0.000
Ca 0.000 0.000 7.876
Si 3.050 0.867 0.000
Si 0.000 0.000 3.938
Si 3.050 -0.867 7.876
Si 0.867 4.784 0.000
Si 0.000 0.000 11.815
Si 0.867 3.050 7.876
```

energy relative to the elements, uncorrected = -450 meV per atom
space-group type = I4/mcm
uncorrected energy = -60.7 eV/cell

---

# 13
A relaxed ScTaTc crystal, computed with GGA-PBEsol.

extended XYZ file:
```
3
Lattice="4.454 0.000 0.000 -2.227 3.857 0.000 0.000 0.000 2.957" Properties=species:S:1:pos:R:3 pbc="T T T"
Sc 0.000 0.000 0.000
Ta 0.000 2.571 1.211
Tc 2.227 1.286 1.993
```

space-group type = P3m1
formation energy = -0.31 eV/f.u.
uncorrected energy = -30.7 eV/cell

---

# 14
A relaxed CoRh2W crystal, computed with GGA-PBEsol.

extended XYZ file:
```
4
Lattice="2.683 0.000 0.000 0.000 2.683 0.000 0.000 0.000 7.348" Properties=species:S:1:pos:R:3 pbc="T T T"
Co 0.000 0.000 0.000
Rh 0.000 0.000 3.644
Rh 1.342 1.342 1.702
W 1.342 1.342 5.582
```

space-group type = P4mm
formation energy = 0.06 eV/f.u.
uncorrected energy = -37.8 eV/cell

---

# 15
A relaxed RbZrIr3 crystal, computed with GGA-PBEsol.

extended XYZ file:
```
5
Lattice="4.933 0.000 0.000 0.000 4.933 0.000 0.000 0.000 4.933" Properties=species:S:1:pos:R:3 pbc="T T T"
Rb 0.000 0.000 0.000
Zr 2.467 2.467 2.467
Ir 0.000 2.467 2.467
Ir 2.467 0.000 2.467
Ir 2.467 2.467 0.000
```

space-group type = Pm-3m
formation energy = 7.21 eV/f.u.
uncorrected energy = -32.4 eV/cell

---

# 16
A relaxed TlGaP3 crystal, computed with GGA-PBEsol.

extended XYZ file:
```
5
Lattice="5.093 0.000 0.000 0.000 5.093 0.000 0.000 0.000 5.093" Properties=species:S:1:pos:R:3 pbc="T T T"
Tl 0.000 0.000 0.000
Ga 2.547 2.547 2.547
P 0.000 0.000 2.547
P 0.000 2.547 0.000
P 2.547 0.000 0.000
```

space-group type = Pm-3m
formation energy = 7.00 eV/f.u.
uncorrected energy = -16.3 eV/cell

---

# 17
A relaxed LaCd2H crystal, computed with GGA-PBEsol.

extended XYZ file:
```
4
Lattice="0.000 3.579 3.579 3.579 0.000 3.579 3.579 3.579 0.000" Properties=species:S:1:pos:R:3 pbc="T T T"
La 0.000 0.000 0.000
Cd 1.790 1.790 1.790
Cd 5.369 5.369 5.369
H 3.579 3.579 3.579
```

space-group type = Fm-3m
uncorrected energy = -9.4 eV/cell

---

# 18
A relaxed LaNb3Pt crystal, computed with GGA-PBEsol.

extended XYZ file:
```
5
Lattice="4.958 0.000 0.000 0.000 4.958 0.000 0.000 0.000 4.958" Properties=species:S:1:pos:R:3 pbc="T T T"
La 0.000 0.000 0.000
Nb 0.000 2.479 2.479
Nb 2.479 0.000 2.479
Nb 2.479 2.479 0.000
Pt 2.479 2.479 2.479
```

space-group type = Pm-3m
formation energy = 3.87 eV/f.u.
uncorrected energy = -40.9 eV/cell

---

# 19
A relaxed Na4Sr2TiP4 crystal, computed with GGA-PBEsol.

extended XYZ file:
```
22
Lattice="4.621 -8.063 0.000 4.621 8.063 0.000 -0.076 0.000 7.342" Properties=species:S:1:pos:R:3 pbc="T T T"
Na 1.745 2.240 3.530
Na 4.583 6.966 3.671
Na 3.659 4.303 5.987
Na 3.623 1.183 7.108
Na 1.706 -2.240 7.201
Na 3.661 -1.183 3.437
Na 3.697 -4.303 2.316
Na 4.621 -6.966 0.000
Sr 4.530 3.842 2.291
Sr 6.483 0.460 2.317
Sr 4.492 -3.842 5.962
Sr 6.445 -0.460 5.988
Ti 6.355 2.703 5.178
Ti 6.393 -2.703 1.507
P 3.769 6.524 0.809
P 1.842 3.129 0.751
P 1.804 -3.129 4.421
P 4.472 1.524 4.338
P 6.451 2.634 0.216
P 4.510 -1.524 0.667
P 3.731 -6.524 4.480
P 6.413 -2.634 3.887
```

space-group type = Cc
formation energy = -8.29 eV/f.u.
uncorrected energy = -98.1 eV/cell

---

# 20
A relaxed RbS crystal, computed with GGA-PBEsol.

extended XYZ file:
```
12
Lattice="8.822 0.000 0.000 -4.411 7.640 0.000 0.000 0.000 5.944" Properties=species:S:1:pos:R:3 pbc="T T T"
Rb -1.578 2.733 0.000
Rb -3.058 5.297 2.972
Rb 1.353 2.343 2.972
Rb 3.155 0.000 0.000
Rb 2.833 4.907 0.000
Rb 6.116 0.000 2.972
S 0.000 0.000 1.057
S 0.000 0.000 4.887
S 0.000 5.093 1.908
S 0.000 5.093 4.036
S 4.411 2.547 1.908
S 4.411 2.547 4.036
```

energy relative to the elements, uncorrected = -928 meV per atom
space-group type = P-62m
uncorrected energy = -43.6 eV/cell

---

# 21
A relaxed P2Pt crystal, computed with GGA-PBEsol.

extended XYZ file:
```
6
Lattice="-2.597 2.597 3.346 2.597 -2.597 3.346 2.597 2.597 -3.346" Properties=species:S:1:pos:R:3 pbc="T T T"
P 3.442 0.846 0.000
P 0.846 1.751 0.000
P 1.751 0.846 3.346
P -0.846 1.751 3.346
Pt 0.000 0.000 1.673
Pt 0.000 0.000 5.019
```

space-group type = I4/mcm
formation energy = 0.26 eV/f.u.
uncorrected energy = -36.6 eV/cell

---

# 22
A relaxed La2Si5Rh3 crystal, computed with GGA-PBEsol.

extended XYZ file:
```
20
Lattice="-4.974 5.904 2.906 4.974 -5.904 2.906 4.974 5.904 -2.906" Properties=species:S:1:pos:R:3 pbc="T T T"
La 2.314 1.546 0.000
La 2.314 -1.546 2.906
La 2.660 7.451 0.000
La 2.660 4.358 2.906
Si 4.974 -2.650 1.453
Si 6.487 1.255 0.000
Si 0.000 0.000 1.453
Si 1.513 4.649 0.000
Si 4.974 2.650 1.453
Si 0.000 3.255 1.453
Si 3.460 1.255 2.906
Si 0.000 0.000 4.359
Si -1.513 4.649 2.906
Si 0.000 8.554 1.453
Rh 3.888 -4.267 2.906
Rh 4.974 0.000 1.453
Rh 3.888 4.267 0.000
Rh 1.086 1.637 2.906
Rh 0.000 5.904 1.453
Rh 1.086 10.171 0.000
```

energy relative to the elements, uncorrected = -1022 meV per atom
space-group type = Ibam
uncorrected energy = -148.1 eV/cell

---

# 23
A relaxed CuAsCl2 crystal, computed with GGA-PBEsol.

extended XYZ file:
```
4
Lattice="1.624 0.938 7.719 -1.624 0.938 7.719 0.000 -1.875 7.719" Properties=species:S:1:pos:R:3 pbc="T T T"
Cu 0.000 0.000 0.000
As 0.000 0.000 11.579
Cl 0.000 0.000 6.219
Cl 0.000 0.000 16.939
```

energy relative to the elements, uncorrected = -8 meV per atom
space-group type = R-3m
uncorrected energy = -13.5 eV/cell

---

# 24
A relaxed LaCr3Hg crystal, computed with GGA-PBEsol.

extended XYZ file:
```
5
Lattice="4.477 0.000 0.000 0.000 4.477 0.000 0.000 0.000 4.477" Properties=species:S:1:pos:R:3 pbc="T T T"
La 0.000 0.000 0.000
Cr 0.000 0.000 2.239
Cr 0.000 2.239 0.000
Cr 2.239 0.000 0.000
Hg 2.239 2.239 2.239
```

space-group type = Pm-3m
formation energy = 9.52 eV/f.u.
uncorrected energy = -27.1 eV/cell